! GGA-PBEsol Li3Zn, relaxed; values from VASP
! energy = -1.941 eV/atom
! space-group type = No. 47
! ΔE_f = -0.070 eV/atom
! calculated volume = 16.04 Å³ per atom
&SYSTEM
  ibrav = 0, nat = 4, ntyp = 2
/
ATOMIC_SPECIES
Zn 65.41 Zn.upf
Li 6.94 Li.upf
CELL_PARAMETERS angstrom
2.761 0.000 0.000
0.000 4.093 0.000
0.000 0.000 5.678
ATOMIC_POSITIONS angstrom
Zn 0.000 0.000 0.000
Li 1.381 2.046 4.377
Li 0.000 0.000 2.839
Li 1.381 2.046 1.300